Entry 1:
NaCaNpBr6 after structural relaxation, computed with PBE.

Cell lengths 7.429, 7.429, 13.296 Å; angles 90.00, 90.00, 120.00 degrees
Fractional positions:
Na 0.000 0.000 0.000
Na 0.000 0.000 0.500
Ca 0.333 0.667 0.250
Ca 0.667 0.333 0.750
Np 0.667 0.333 0.250
Np 0.333 0.667 0.750
Br 0.652 0.651 0.129
Br 0.998 0.348 0.129
Br 0.348 0.998 0.629
Br 0.002 0.652 0.871
Br 0.349 0.348 0.371
Br 0.998 0.651 0.371
Br 0.651 0.998 0.871
Br 0.652 0.002 0.371
Br 0.002 0.349 0.629
Br 0.349 0.002 0.129
Br 0.651 0.652 0.629
Br 0.348 0.349 0.871

Results
* raw formation energy: -154.47 kJ/mol of atoms

=====

Entry 2:
Sb3PBr after structural relaxation, computed with PBE.

Cell lengths 5.289, 5.289, 5.289 Å; angles 90.00, 90.00, 90.00 degrees
Fractional positions:
Sb 0.000 0.500 0.000
Sb 0.000 0.000 0.500
Sb 0.500 0.000 0.000
Br 0.500 0.500 0.500
P 0.000 0.000 0.000

Results
* raw formation energy: 51.02 kJ/mol of atoms

=====

Entry 3:
As2RuSBr after structural relaxation, computed with PBE.

Cell lengths 4.782, 4.782, 4.912 Å; angles 90.00, 90.00, 90.00 degrees
Fractional positions:
Ru 0.500 0.500 0.500
As 0.000 0.500 0.000
As 0.500 0.000 0.000
S 0.000 0.000 0.000
Br 0.000 0.000 0.500

Results
* raw formation energy: 124.11 kJ/mol of atoms

=====

Entry 4:
CsGdBi2 after structural relaxation, computed with PBE.

Cell lengths 4.941, 4.941, 8.955 Å; angles 73.99, 73.99, 60.00 degrees
Fractional positions:
Cs 0.500 0.500 0.500
Gd 0.000 0.000 0.000
Bi 0.278 0.278 0.167
Bi 0.722 0.722 0.833

Results
* ΔH_f (0 K): -38 kJ/mol of atoms

=====

Entry 5:
PmNd6DyTm2 after structural relaxation, computed with PBE.

Cell lengths 9.646, 8.936, 8.936 Å; angles 117.02, 93.65, 93.65 degrees
Fractional positions:
Pm 0.250 0.969 0.031
Pm 0.750 0.031 0.969
Nd 0.055 0.113 0.761
Nd 0.445 0.239 0.887
Nd 0.945 0.887 0.239
Nd 0.555 0.761 0.113
Nd 0.315 0.993 0.440
Nd 0.185 0.560 0.007
Nd 0.685 0.007 0.560
Nd 0.815 0.440 0.993
Nd 0.117 0.705 0.485
Nd 0.383 0.515 0.295
Nd 0.883 0.295 0.515
Nd 0.617 0.485 0.705
Dy 0.250 0.411 0.589
Dy 0.750 0.589 0.411
Tm 0.451 0.798 0.702
Tm 0.049 0.298 0.202
Tm 0.549 0.202 0.298
Tm 0.951 0.702 0.798

Results
* ΔH_f (0 K): 11 kJ/mol of atoms

=====

D(E_F) / states/eV per atom: 1.061; 1.041; 1.173; 0.952; 1.460